(1)
DFT (GGA-PBE) results for crystalline Zr2BeCo6B at its relaxed geometry.

Computed properties:
* volume: 11.94 Å³/atom
* magnetization: 1.072 μB/cell
* DFT formation energy: -0.2651 eV/atom
* theoretical density: 7.73 g cm⁻³
* space group: Fm-3m, No. 225

Geometry as CIF:
```
data_Zr2BeCo6B
_chemical_formula_sum 'Zr2 Be1 Co6 B1'
_cell_length_a 5.5273
_cell_length_b 5.5273
_cell_length_c 5.5272
_cell_angle_alpha 60.00
_cell_angle_beta 60.00
_cell_angle_gamma 90.00
_space_group_name_H-M_alt 'P 1'
_space_group_IT_number 1
loop_
_space_group_symop_operation_xyz
'x,y,z'
loop_
_atom_site_label
_atom_site_type_symbol
_atom_site_fract_x
_atom_site_fract_y
_atom_site_fract_z
Co1 Co 0.2444 0.2444 0.0000
Zr1 Zr 0.7500 0.2500 0.5000
B1 B 0.0000 0.0000 0.0000
Co2 Co 0.2444 0.2444 0.5113
Zr2 Zr 0.2500 0.7500 0.5000
Co3 Co 0.7556 0.7556 0.4887
Co4 Co 0.7556 0.2444 0.0000
Be1 Be 0.5000 0.5000 0.0000
Co5 Co 0.7556 0.7556 0.0000
Co6 Co 0.2444 0.7556 0.0000
```

=====

(2)
DFT (GGA-PBE) results for crystalline BeCrB at its relaxed geometry.

Computed properties:
* volume: 8.55 Å³/atom
* magnetization: 0.000 μB/cell
* DFT formation energy: -0.3109 eV/atom
* theoretical density: 4.65 g cm⁻³
* space group: Cmcm, No. 63

Geometry as CIF:
```
data_BeCrB
_chemical_formula_sum 'Be4 Cr4 B4'
_cell_length_a 2.8589
_cell_length_b 12.5672
_cell_length_c 2.8552
_cell_angle_alpha 90.00
_cell_angle_beta 90.00
_cell_angle_gamma 90.00
_space_group_name_H-M_alt 'P 1'
_space_group_IT_number 1
loop_
_space_group_symop_operation_xyz
'x,y,z'
loop_
_atom_site_label
_atom_site_type_symbol
_atom_site_fract_x
_atom_site_fract_y
_atom_site_fract_z
Be1 Be 0.5000 0.2036 0.7500
Cr1 Cr 0.5000 0.4104 0.7500
Cr2 Cr 0.0000 0.9104 0.7500
Cr3 Cr 0.0000 0.0896 0.2500
Cr4 Cr 0.5000 0.5896 0.2500
Be2 Be 0.5000 0.7964 0.2500
Be3 Be 0.0000 0.7036 0.7500
B1 B 0.0000 0.4584 0.2500
Be4 Be 0.0000 0.2964 0.2500
B2 B 0.0000 0.5416 0.7500
B3 B 0.5000 0.0416 0.7500
B4 B 0.5000 0.9584 0.2500
```

=====

(3)
DFT (GGA-PBE) results for crystalline Be3CrB at its relaxed geometry.

Computed properties:
* volume: 8.92 Å³/atom
* E above lowest polymorph: 3.218 eV per formula unit
* magnetization: 0.000 μB/cell
* DFT formation energy: 0.4980 eV/atom
* theoretical density: 3.34 g cm⁻³
* space group: Pm-3m, No. 221

Geometry as CIF:
```
data_Be3CrB
_chemical_formula_sum 'Be3 Cr1 B1'
_cell_length_a 3.5466
_cell_length_b 3.5466
_cell_length_c 3.5466
_cell_angle_alpha 90.00
_cell_angle_beta 90.00
_cell_angle_gamma 90.00
_space_group_name_H-M_alt 'P 1'
_space_group_IT_number 1
loop_
_space_group_symop_operation_xyz
'x,y,z'
loop_
_atom_site_label
_atom_site_type_symbol
_atom_site_fract_x
_atom_site_fract_y
_atom_site_fract_z
B1 B 0.0000 0.0000 0.0000
Be1 Be 0.0000 0.5000 0.0000
Be2 Be 0.5000 0.0000 0.0000
Be3 Be 0.0000 0.0000 0.5000
Cr1 Cr 0.5000 0.5000 0.5000
```

=====

(4)
DFT (GGA-PBE) results for crystalline Be2Cr3B3 at its relaxed geometry.

Computed properties:
* volume: 8.29 Å³/atom
* magnetization: 0.000 μB/cell
* DFT formation energy: -0.1165 eV/atom
* theoretical density: 5.17 g cm⁻³
* space group: Cmcm, No. 63

Geometry as CIF:
```
data_Be2Cr3B3
_chemical_formula_sum 'Be4 Cr6 B6'
_cell_length_a 2.9228
_cell_length_b 4.0566
_cell_length_c 11.9898
_cell_angle_alpha 90.00
_cell_angle_beta 90.00
_cell_angle_gamma 111.12
_space_group_name_H-M_alt 'P 1'
_space_group_IT_number 1
loop_
_space_group_symop_operation_xyz
'x,y,z'
loop_
_atom_site_label
_atom_site_type_symbol
_atom_site_fract_x
_atom_site_fract_y
_atom_site_fract_z
Cr1 Cr 0.6291 0.2581 0.4695
B1 B 0.1674 0.3348 0.7500
Be1 Be 0.7509 0.5017 0.6609
B2 B 0.9448 0.8895 0.3819
Cr2 Cr 0.4638 0.9276 0.7500
Be2 Be 0.7509 0.5017 0.8391
B3 B 0.9448 0.8895 0.1181
Cr3 Cr 0.3709 0.7419 0.9695
B4 B 0.0552 0.1105 0.8819
Be3 Be 0.2491 0.4983 0.1609
Cr4 Cr 0.3709 0.7419 0.5305
Be4 Be 0.2491 0.4983 0.3391
B5 B 0.8326 0.6652 0.2500
Cr5 Cr 0.6291 0.2581 0.0305
Cr6 Cr 0.5362 0.0724 0.2500
B6 B 0.0552 0.1105 0.6181
```

=====

(5)
DFT (GGA-PBE) results for crystalline Be2CrB2 at its relaxed geometry.

Computed properties:
* volume: 8.20 Å³/atom
* E above lowest polymorph: 0.186 eV per formula unit
* magnetization: 0.000 μB/cell
* DFT formation energy: -0.1527 eV/atom
* theoretical density: 3.71 g cm⁻³
* space group: Cm, No. 8

Geometry as CIF:
```
data_Be2CrB2
_chemical_formula_sum 'Be4 Cr2 B4'
_cell_length_a 3.9676
_cell_length_b 2.8692
_cell_length_c 7.4268
_cell_angle_alpha 90.00
_cell_angle_beta 103.96
_cell_angle_gamma 90.00
_space_group_name_H-M_alt 'P 1'
_space_group_IT_number 1
loop_
_space_group_symop_operation_xyz
'x,y,z'
loop_
_atom_site_label
_atom_site_type_symbol
_atom_site_fract_x
_atom_site_fract_y
_atom_site_fract_z
Be1 Be 0.6890 0.5000 0.8671
Cr1 Cr 0.1922 0.5000 0.3802
B1 B 0.2584 0.5000 0.6765
Cr2 Cr 0.1922 0.0000 0.8802
Be2 Be 0.6890 0.0000 0.3671
B2 B 0.0573 0.5000 0.0805
Be3 Be 0.5772 0.0000 0.6369
B3 B 0.0573 0.0000 0.5805
B4 B 0.2584 0.0000 0.1765
Be4 Be 0.5772 0.5000 0.1369
```

=====

(6)
DFT (GGA-PBE) results for crystalline BeCr2B at its relaxed geometry.

Computed properties:
* volume: 9.03 Å³/atom
* E above lowest polymorph: 0.000 eV per formula unit
* magnetization: 0.000 μB/cell
* DFT formation energy: 0.1430 eV/atom
* theoretical density: 5.69 g cm⁻³
* space group: Fm-3m, No. 225

Geometry as CIF:
```
data_BeCr2B
_chemical_formula_sum 'Be1 Cr2 B1'
_cell_length_a 3.7105
_cell_length_b 3.7105
_cell_length_c 3.7105
_cell_angle_alpha 60.00
_cell_angle_beta 60.00
_cell_angle_gamma 60.00
_space_group_name_H-M_alt 'P 1'
_space_group_IT_number 1
loop_
_space_group_symop_operation_xyz
'x,y,z'
loop_
_atom_site_label
_atom_site_type_symbol
_atom_site_fract_x
_atom_site_fract_y
_atom_site_fract_z
Be1 Be 0.0000 0.0000 0.0000
Cr1 Cr 0.2500 0.2500 0.2500
B1 B 0.5000 0.5000 0.5000
Cr2 Cr 0.7500 0.7500 0.7500
```

=====

(7)
DFT (GGA-PBE) results for crystalline Be2CrB2 at its relaxed geometry.

Computed properties:
* volume: 8.17 Å³/atom
* E above lowest polymorph: 0.105 eV per formula unit
* magnetization: 0.000 μB/cell
* DFT formation energy: -0.1688 eV/atom
* theoretical density: 3.73 g cm⁻³
* space group: Pc, No. 7

Geometry as CIF:
```
data_Be2CrB2
_chemical_formula_sum 'Be4 Cr2 B4'
_cell_length_a 4.4666
_cell_length_b 3.9825
_cell_length_c 4.9227
_cell_angle_alpha 90.00
_cell_angle_beta 111.09
_cell_angle_gamma 90.00
_space_group_name_H-M_alt 'P 1'
_space_group_IT_number 1
loop_
_space_group_symop_operation_xyz
'x,y,z'
loop_
_atom_site_label
_atom_site_type_symbol
_atom_site_fract_x
_atom_site_fract_y
_atom_site_fract_z
Be1 Be 0.2071 0.9084 0.7584
B1 B 0.5014 0.6278 0.6709
Cr1 Cr 0.2157 0.8640 0.2634
Be2 Be 0.7071 0.0916 0.2584
Be3 Be 0.8054 0.6070 0.4518
Be4 Be 0.3054 0.3930 0.9518
B2 B 0.9013 0.6404 0.8808
B3 B 0.0014 0.3722 0.1709
Cr2 Cr 0.7157 0.1360 0.7634
B4 B 0.4013 0.3596 0.3808
```

=====

(8)
DFT (GGA-PBE) results for crystalline Be2CrB4 at its relaxed geometry.

Computed properties:
* volume: 10.21 Å³/atom
* E above lowest polymorph: 8.103 eV per formula unit
* magnetization: 0.000 μB/cell
* DFT formation energy: 1.0172 eV/atom
* theoretical density: 2.63 g cm⁻³
* space group: I4/mmm, No. 139

Geometry as CIF:
```
data_Be2CrB4
_chemical_formula_sum 'Be2 Cr1 B4'
_cell_length_a 3.7781
_cell_length_b 3.7781
_cell_length_c 5.6740
_cell_angle_alpha 70.55
_cell_angle_beta 70.55
_cell_angle_gamma 90.00
_space_group_name_H-M_alt 'P 1'
_space_group_IT_number 1
loop_
_space_group_symop_operation_xyz
'x,y,z'
loop_
_atom_site_label
_atom_site_type_symbol
_atom_site_fract_x
_atom_site_fract_y
_atom_site_fract_z
B1 B 0.0000 0.5000 0.0000
B2 B 0.1946 0.1946 0.6108
Be1 Be 0.3851 0.3851 0.2299
B3 B 0.8054 0.8054 0.3892
Be2 Be 0.6149 0.6149 0.7701
Cr1 Cr 0.0000 0.0000 0.0000
B4 B 0.5000 0.0000 0.0000
```

=====

(9)
DFT (GGA-PBE) results for crystalline Be2CrB2 at its relaxed geometry.

Computed properties:
* volume: 7.70 Å³/atom
* E above lowest polymorph: 0.110 eV per formula unit
* magnetization: 0.000 μB/cell
* DFT formation energy: -0.1680 eV/atom
* theoretical density: 3.95 g cm⁻³
* space group: Imm2, No. 44

Geometry as CIF:
```
data_Be2CrB2
_chemical_formula_sum 'Be4 Cr2 B4'
_cell_length_a 3.0431
_cell_length_b 4.2028
_cell_length_c 6.0179
_cell_angle_alpha 90.00
_cell_angle_beta 90.00
_cell_angle_gamma 90.00
_space_group_name_H-M_alt 'P 1'
_space_group_IT_number 1
loop_
_space_group_symop_operation_xyz
'x,y,z'
loop_
_atom_site_label
_atom_site_type_symbol
_atom_site_fract_x
_atom_site_fract_y
_atom_site_fract_z
Be1 Be 0.0000 0.5000 0.9194
Be2 Be 0.0000 0.0000 0.1376
B1 B 0.5000 0.2869 0.1267
Cr1 Cr 0.5000 0.0000 0.8204
B2 B 0.0000 0.2131 0.6267
Cr2 Cr 0.0000 0.5000 0.3204
B3 B 0.5000 0.7131 0.1267
B4 B 0.0000 0.7869 0.6267
Be3 Be 0.5000 0.0000 0.4194
Be4 Be 0.5000 0.5000 0.6376
```

=====

(10)
DFT (GGA-PBE) results for crystalline BeCrB at its relaxed geometry.

Computed properties:
* volume: 8.21 Å³/atom
* magnetization: 0.000 μB/cell
* DFT formation energy: -0.0381 eV/atom
* theoretical density: 4.84 g cm⁻³
* space group: Cmcm, No. 63

Geometry as CIF:
```
data_BeCrB
_chemical_formula_sum 'Be2 Cr2 B2'
_cell_length_a 3.7359
_cell_length_b 4.2293
_cell_length_c 3.6336
_cell_angle_alpha 90.00
_cell_angle_beta 120.94
_cell_angle_gamma 90.00
_space_group_name_H-M_alt 'P 1'
_space_group_IT_number 1
loop_
_space_group_symop_operation_xyz
'x,y,z'
loop_
_atom_site_label
_atom_site_type_symbol
_atom_site_fract_x
_atom_site_fract_y
_atom_site_fract_z
Be1 Be 0.0000 0.5000 0.0000
B1 B 0.3257 0.2500 0.6515
Be2 Be 0.0000 0.0000 0.0000
B2 B 0.6743 0.7500 0.3485
Cr1 Cr 0.3334 0.7500 0.6668
Cr2 Cr 0.6666 0.2500 0.3332
```

=====

(11)
DFT (GGA-PBE) results for crystalline BeCrB at its relaxed geometry.

Computed properties:
* volume: 8.28 Å³/atom
* magnetization: 0.470 μB/cell
* DFT formation energy: -0.2607 eV/atom
* theoretical density: 4.80 g cm⁻³
* space group: Immm, No. 71

Geometry as CIF:
```
data_BeCrB
_chemical_formula_sum 'Be4 Cr4 B4'
_cell_length_a 7.8425
_cell_length_b 4.2460
_cell_length_c 2.9823
_cell_angle_alpha 90.00
_cell_angle_beta 90.00
_cell_angle_gamma 90.00
_space_group_name_H-M_alt 'P 1'
_space_group_IT_number 1
loop_
_space_group_symop_operation_xyz
'x,y,z'
loop_
_atom_site_label
_atom_site_type_symbol
_atom_site_fract_x
_atom_site_fract_y
_atom_site_fract_z
Cr1 Cr 0.7082 0.5000 0.5000
Cr2 Cr 0.2082 0.0000 0.0000
Cr3 Cr 0.7918 0.0000 0.0000
Be1 Be 0.5000 0.2444 0.0000
Be2 Be 0.5000 0.7556 0.0000
Be3 Be 0.0000 0.2556 0.5000
Be4 Be 0.0000 0.7444 0.5000
B1 B 0.1105 0.5000 0.0000
B2 B 0.6105 0.0000 0.5000
B3 B 0.8895 0.5000 0.0000
Cr4 Cr 0.2918 0.5000 0.5000
B4 B 0.3895 0.0000 0.5000
```